# 1
First-principles (GGA-PBE) data for Ce2TmAl after structural relaxation, as listed in Alexandria via LeMat-Bulk.

## Properties
DFT formation energy = 0.01 eV/atom
M_tot = 8.11 μB/cell
E above lowest polymorph = 0.780 eV per formula unit

Lattice parameters (Å, degrees): 7.5427 7.5427 7.5427 90.00 90.00 90.00
Last column: nearest neighbours and their distance in Å.
Space group Fm-3m (No. 225)
Asymmetric unit:
Ce 0.2500 0.2500 0.2500 [8 per cell]  4 Al 3.27, 4 Tm 3.27
Tm 0.0000 0.0000 0.0000 [4 per cell]  8 Ce 3.27
Al 0.0000 0.0000 0.5000 [4 per cell]  8 Ce 3.27

# 2
First-principles (GGA-PBE) data for TbCuAgSe3 after structural relaxation, as listed in Alexandria via LeMat-Bulk.

## Properties
formation energy without anion corrections = -4.5 eV per formula unit
M_tot = 0.00 μB/cell

Lattice parameters (Å, degrees): 8.2109 3.9667 8.4687 90.00 99.19 90.00
Last column: nearest neighbours and their distance in Å.
Space group P2_1/m (No. 11)
Asymmetric unit:
Tb 0.1736 0.2500 0.2300 [2 per cell]  7 Se 2.88-3.06, 1 Cu 3.18
Cu 0.0777 0.2500 0.5787 [2 per cell]  4 Se 2.45-2.56, 2 Cu 2.61
Ag 0.3430 0.7500 0.8425 [2 per cell]  6 Se 2.68-2.94
Se 0.0852 0.2500 0.8686 [2 per cell]  1 Cu 2.45
Se 0.2351 0.7500 0.5080 [2 per cell]  3 Cu 2.49-2.56
Se 0.4080 0.7500 0.1630 [2 per cell]  3 Ag 2.68-2.85, 2 Tb 2.88

# 3
First-principles (GGA-PBE) data for LaPPbCl2 after structural relaxation, as listed in Alexandria via LeMat-Bulk.

## Properties
formation energy without anion corrections = -4.2 eV per formula unit
M_tot = 0.00 μB/cell
E above lowest polymorph = 0.000 eV per formula unit

Lattice parameters (Å, degrees): 5.5357 5.5357 6.2924 90.00 90.00 90.00
Last column: nearest neighbours and their distance in Å.
Space group P4/mmm (No. 123)
Asymmetric unit:
La 0.0000 0.0000 0.0000 [1 per cell]  4 Cl 2.77
P 0.0000 0.0000 0.5000 [1 per cell]  2 La 3.15
Pb 0.5000 0.5000 0.5000 [1 per cell]  4 P 3.91, 8 Cl 4.19
Cl 0.0000 0.5000 0.0000 [2 per cell]  2 La 2.77